Entry 1:
Below is a relaxed structure of MoIr2Os, with properties calculated at the GGA-PBE level.

Output
* energy of formation from the pure elements: -0.056 eV per atom

```
data_MoIr2Os
_cell_length_a 2.7492
_cell_length_b 2.7492
_cell_length_c 7.8462
_cell_angle_alpha 90.00
_cell_angle_beta 90.00
_cell_angle_gamma 90.00
_space_group_name_H-M_alt 'P 4 m m'
_space_group_IT_number 99
_space_group_name_Hall 'P 4 -2'
loop_
_atom_site_label
_atom_site_type_symbol
_atom_site_fract_x
_atom_site_fract_y
_atom_site_fract_z
_atom_site_occupancy
Mo1 Mo 0.0000 0.0000 0.0000 1
Ir1 Ir 0.0000 0.0000 0.4971 1
Ir2 Ir 0.5000 0.5000 0.7596 1
Os1 Os 0.5000 0.5000 0.2635 1
```

---

Entry 2:
Below is a relaxed structure of ZnAs2SeCl, with properties calculated at the GGA-PBE level.

Output
* ΔE_f (raw): 5.22 eV/f.u.

```
data_ZnAs2SeCl
_cell_length_a 4.8621
_cell_length_b 4.8621
_cell_length_c 5.2484
_cell_angle_alpha 90.00
_cell_angle_beta 90.00
_cell_angle_gamma 90.00
_space_group_name_H-M_alt 'P 4/m m m'
_space_group_IT_number 123
_space_group_name_Hall '-P 4 2'
loop_
_atom_site_label
_atom_site_type_symbol
_atom_site_fract_x
_atom_site_fract_y
_atom_site_fract_z
_atom_site_occupancy
Zn1 Zn 0.0000 0.0000 0.0000 1
As1 As 0.0000 0.5000 0.5000 1
Se1 Se 0.5000 0.5000 0.0000 1
Cl1 Cl 0.5000 0.5000 0.5000 1
```

---

Entry 3:
Below is a relaxed structure of GaSbPbO5, with properties calculated at the GGA-PBE level.

Output
* ΔE_f (raw): -12.13 eV/f.u.

```
data_GaSbPbO5
_cell_length_a 7.0774
_cell_length_b 9.4397
_cell_length_c 7.5363
_cell_angle_alpha 90.00
_cell_angle_beta 115.18
_cell_angle_gamma 90.00
_space_group_name_H-M_alt 'C 1 2/c 1'
_space_group_IT_number 15
_space_group_name_Hall '-C 2yc'
loop_
_atom_site_label
_atom_site_type_symbol
_atom_site_fract_x
_atom_site_fract_y
_atom_site_fract_z
_atom_site_occupancy
Ga1 Ga 0.0000 0.1892 0.2500 1
Sb1 Sb 0.0000 0.5000 0.0000 1
Pb1 Pb 0.0000 0.1680 0.7500 1
O1 O 0.0000 0.4309 0.7500 1
O2 O 0.0961 0.3010 0.0998 1
O3 O 0.2012 0.0612 0.4142 1
```

---

Entry 4:
Below is a relaxed structure of Te2RuIBr, with properties calculated at the GGA-PBE level.

Output
* ΔE_f (raw): 7.48 eV/f.u.

```
data_Te2RuIBr
_cell_length_a 5.6098
_cell_length_b 5.6098
_cell_length_c 5.7031
_cell_angle_alpha 90.00
_cell_angle_beta 90.00
_cell_angle_gamma 90.00
_space_group_name_H-M_alt 'P 4/m m m'
_space_group_IT_number 123
_space_group_name_Hall '-P 4 2'
loop_
_atom_site_label
_atom_site_type_symbol
_atom_site_fract_x
_atom_site_fract_y
_atom_site_fract_z
_atom_site_occupancy
Te1 Te 0.0000 0.5000 0.0000 1
Ru1 Ru 0.0000 0.0000 0.5000 1
I1 I 0.5000 0.5000 0.5000 1
Br1 Br 0.5000 0.5000 0.0000 1
```

---

Entry 5:
Below is a relaxed structure of Ac4Ce3TmSe8, with properties calculated at the GGA-PBE level.

Output
* ΔE_f (raw): -28.93 eV/f.u.

```
data_Ac4Ce3TmSe8
_cell_length_a 8.5887
_cell_length_b 8.5887
_cell_length_c 21.3492
_cell_angle_alpha 90.00
_cell_angle_beta 90.00
_cell_angle_gamma 120.00
_space_group_name_H-M_alt 'R -3 m'
_space_group_IT_number 166
_space_group_name_Hall '-R 3 2"'
loop_
_atom_site_label
_atom_site_type_symbol
_atom_site_fract_x
_atom_site_fract_y
_atom_site_fract_z
_atom_site_occupancy
Ac1 Ac 0.0000 0.0000 0.0000 1
Ac2 Ac 0.0000 0.5000 0.0000 1
Ce1 Ce 0.0000 0.5000 0.5000 1
Tm1 Tm 0.0000 0.0000 0.5000 1
Se1 Se 0.0000 0.0000 0.2443 1
Se2 Se 0.0087 0.5044 0.2422 1
```

---

Entry 6:
Below is a relaxed structure of La2MgAlGa6, with properties calculated at the GGA-PBE level.

Output
* energy of formation from the pure elements: -0.289 eV per atom

```
data_La2MgAlGa6
_cell_length_a 6.5097
_cell_length_b 6.5097
_cell_length_c 37.1015
_cell_angle_alpha 90.00
_cell_angle_beta 90.00
_cell_angle_gamma 120.00
_space_group_name_H-M_alt 'R -3 m'
_space_group_IT_number 166
_space_group_name_Hall '-R 3 2"'
loop_
_atom_site_label
_atom_site_type_symbol
_atom_site_fract_x
_atom_site_fract_y
_atom_site_fract_z
_atom_site_occupancy
La1 La 0.0000 0.0000 0.1120 1
La2 La 0.0000 0.0000 0.2890 1
Mg1 Mg 0.0000 0.0000 0.4270 1
Al1 Al 0.0000 0.0000 0.0000 1
Al2 Al 0.0000 0.0000 0.5000 1
Ga1 Ga 0.0499 0.5250 0.2971 1
Ga2 Ga 0.0754 0.5377 0.8691 1
```

---

Entry 7:
Below is a relaxed structure of CoAgP2, with properties calculated at the GGA-PBE level.

Output
* energy of formation from the pure elements: 0.038 eV per atom

```
data_CoAgP2
_cell_length_a 3.0037
_cell_length_b 3.0037
_cell_length_c 22.3578
_cell_angle_alpha 90.00
_cell_angle_beta 90.00
_cell_angle_gamma 120.00
_space_group_name_H-M_alt 'R -3 m'
_space_group_IT_number 166
_space_group_name_Hall '-R 3 2"'
loop_
_atom_site_label
_atom_site_type_symbol
_atom_site_fract_x
_atom_site_fract_y
_atom_site_fract_z
_atom_site_occupancy
Co1 Co 0.0000 0.0000 0.0000 1
Ag1 Ag 0.0000 0.0000 0.5000 1
P1 P 0.0000 0.0000 0.2676 1
```

---

Entry 8:
Below is a relaxed structure of Tm8HC3Se4, with properties calculated at the GGA-PBE level.

```
data_Tm8HC3Se4
_cell_length_a 7.4305
_cell_length_b 7.4305
_cell_length_c 19.2492
_cell_angle_alpha 90.00
_cell_angle_beta 90.00
_cell_angle_gamma 120.00
_space_group_name_H-M_alt 'R -3 m'
_space_group_IT_number 166
_space_group_name_Hall '-R 3 2"'
loop_
_atom_site_label
_atom_site_type_symbol
_atom_site_fract_x
_atom_site_fract_y
_atom_site_fract_z
_atom_site_occupancy
Tm1 Tm 0.0000 0.0000 0.2337 1
Tm2 Tm 0.0166 0.5083 0.7638 1
H1 H 0.0000 0.0000 0.5000 1
C1 C 0.0000 0.5000 0.5000 1
Se1 Se 0.0000 0.0000 0.0000 1
Se2 Se 0.0000 0.5000 0.0000 1
```

---

no.,E (eV per atom),density of states at the Fermi level (states/eV/atom)
1,-10.002,0.987
2,-2.137,1.253
3,-5.973,0.000
4,-2.261,1.317
5,-5.970,1.402
6,-3.625,0.604
7,-5.156,0.873
8,-6.180,0.389